w | TeN: optimized geometry, PBE.

```
TeN
1.0
8.1515 0.0000 0.0000
0.0000 8.1515 0.0000
0.0000 0.0000 3.1721
Te N
4 4
Direct
0.1986 0.1986 0.0000
0.3014 0.6986 0.5000
0.6986 0.3014 0.5000
0.8014 0.8014 0.0000
0.1905 0.8095 0.0000
0.3095 0.3095 0.5000
0.6905 0.6905 0.5000
0.8095 0.1905 0.0000
```

Computed properties:
magnetic moment: 0.0 μB per cell
SG: No. 136


x | TeN: optimized geometry, PBE.

```
TeN
1.0
3.8755 0.0000 0.0000
0.0000 3.1796 0.0000
-0.0056 0.0000 6.2836
Te N
2 2
Direct
0.1995 0.2500 0.2506
0.8005 0.7500 0.7494
0.4725 0.2500 0.7495
0.5275 0.7500 0.2505
```

Computed properties:
magnetic moment: 0.0 μB per cell
SG: No. 11


y | TeN: optimized geometry, PBE.

```
TeN
1.0
0.0000 2.7124 2.7124
2.7124 0.0000 2.7124
2.7124 2.7124 0.0000
Te N
1 1
Direct
0.0000 0.0000 0.0000
0.2500 0.2500 0.2500
```

Computed properties:
magnetic moment: 0.0 μB per cell
SG: No. 216


Q: Which of them is the most stable? A: x.